DFT (meta-GGA SCAN) results for KBeTl at its PBEsol-relaxed geometry. Values from VASP.

```
&SYSTEM
  ibrav = 0, nat = 3, ntyp = 3
/
ATOMIC_SPECIES
Be 9.01 Be.upf
K 39.10 K.upf
Tl 204.38 Tl.upf
ATOMIC_POSITIONS crystal
Be 0.500 0.500 0.500
K 0.250 0.250 0.250
Tl 0.000 0.000 0.000
CELL_PARAMETERS angstrom
5.243 0.000 0.000
2.621 4.540 0.000
2.621 1.513 4.281
```

## Properties
The calculated density comes out at 4.1 Mg/m³. As for the crystal system: cubic. The calculation puts the total energy at -27.2787 eV/atom. The density of states at the Fermi level comes out at 0.92 states/eV/atom. The calculation puts the formation energy at 3.2 eV/f.u.